Record 1
Computed, not measured: Sc2TePd2 after structural relaxation at the GGA-PBE level of DFT.

## Properties
DOS at the Fermi energy in states/eV/cell: 5.129
Total DFT energy (no corrections) in eV per atom: -6.1036
Excess energy over the best structure of this formula in the dataset in eV per atom: 0.0000

a = 7.391 Å, b = 7.391 Å, c = 3.635 Å
α = 90.00°, β = 90.00°, γ = 90.00°
Fractional coordinates of all 10 atoms:
Sc (0.166, 0.334, 0.000)
Sc (0.334, 0.834, 0.000)
Sc (0.666, 0.166, 0.000)
Sc (0.834, 0.666, 0.000)
Te (0.000, 0.000, 0.500)
Te (0.500, 0.500, 0.500)
Pd (0.130, 0.630, 0.500)
Pd (0.370, 0.130, 0.500)
Pd (0.630, 0.870, 0.500)
Pd (0.870, 0.370, 0.500)

---

Record 2
Computed, not measured: ErSc3Bi2 after structural relaxation at the GGA-PBE level of DFT.

## Properties
DOS at the Fermi energy in states/eV/cell: 9.913
Total DFT energy (no corrections) in eV per atom: -5.6461
Excess energy over the best structure of this formula in the dataset in eV per atom: 0.0845
DFT formation energy in eV per atom: -0.426

a = 9.112 Å, b = 9.112 Å, c = 9.099 Å
α = 112.21°, β = 112.21°, γ = 27.24°
Fractional coordinates of all 12 atoms:
Er (0.111, 0.111, 0.115)
Er (0.889, 0.889, 0.885)
Sc (0.065, 0.065, 0.674)
Sc (0.309, 0.309, 0.103)
Sc (0.359, 0.359, 0.511)
Sc (0.641, 0.641, 0.489)
Sc (0.691, 0.691, 0.897)
Sc (0.935, 0.935, 0.326)
Bi (0.250, 0.250, 0.715)
Bi (0.491, 0.491, 0.172)
Bi (0.509, 0.509, 0.828)
Bi (0.750, 0.750, 0.285)

---

Record 3
Computed, not measured: YWSe2 after structural relaxation at the GGA-PBE level of DFT.

## Properties
DOS at the Fermi energy in states/eV/cell: 2.249
Total DFT energy (no corrections) in eV per atom: -7.0462
Excess energy over the best structure of this formula in the dataset in eV per atom: 0.0893

a = 3.560 Å, b = 4.846 Å, c = 5.258 Å
α = 90.00°, β = 109.68°, γ = 90.00°
Fractional coordinates of all 4 atoms:
Y (0.000, 0.000, 0.000)
W (0.233, 0.500, 0.465)
Se (0.283, 0.000, 0.563)
Se (0.544, 0.500, 0.086)

---

Record 4
Computed, not measured: Nd6GaRu2Cl3 after structural relaxation at the GGA-PBE level of DFT.

## Properties
DOS at the Fermi energy in states/eV/cell: 7.215
Total DFT energy (no corrections) in eV per atom: -5.5695

a = 7.178 Å, b = 7.178 Å, c = 7.900 Å
α = 98.65°, β = 98.65°, γ = 120.16°
Fractional coordinates of all 12 atoms:
Nd (0.075, 0.432, 0.790)
Nd (0.214, 0.214, 0.212)
Nd (0.432, 0.075, 0.790)
Nd (0.568, 0.925, 0.210)
Nd (0.786, 0.786, 0.788)
Nd (0.925, 0.568, 0.210)
Ga (0.500, 0.500, 0.000)
Ru (0.166, 0.834, 0.000)
Ru (0.834, 0.166, 0.000)
Cl (0.000, 0.000, 0.500)
Cl (0.331, 0.669, 0.500)
Cl (0.669, 0.331, 0.500)

---

Record 5
Computed, not measured: Zn2InTc after structural relaxation at the GGA-PBE level of DFT.

## Properties
DOS at the Fermi energy in states/eV/cell: 9.417
Total DFT energy (no corrections) in eV per atom: -3.6278
DFT formation energy in eV per atom: 0.285

a = 2.971 Å, b = 2.971 Å, c = 26.681 Å
α = 90.00°, β = 90.00°, γ = 120.00°
Fractional coordinates of all 12 atoms:
Zn (0.000, 0.000, 0.000)
Zn (0.000, 0.000, 0.255)
Zn (0.333, 0.667, 0.667)
Zn (0.333, 0.667, 0.922)
Zn (0.667, 0.333, 0.333)
Zn (0.667, 0.333, 0.588)
In (0.000, 0.000, 0.757)
In (0.333, 0.667, 0.424)
In (0.667, 0.333, 0.091)
Tc (0.000, 0.000, 0.511)
Tc (0.333, 0.667, 0.177)
Tc (0.667, 0.333, 0.844)

---

Record 6
Computed, not measured: YThAgPt after structural relaxation at the GGA-PBE level of DFT.

## Properties
DOS at the Fermi energy in states/eV/cell: 16.418
Total DFT energy (no corrections) in eV per atom: -6.3177
DFT formation energy in eV per atom: -0.624

a = 7.260 Å, b = 7.260 Å, c = 7.260 Å
α = 90.00°, β = 90.00°, γ = 90.00°
Fractional coordinates of all 16 atoms:
Y (0.000, 0.000, 0.000)
Y (0.000, 0.500, 0.500)
Y (0.500, 0.000, 0.500)
Y (0.500, 0.500, 0.000)
Th (0.000, 0.000, 0.500)
Th (0.000, 0.500, 0.000)
Th (0.500, 0.000, 0.000)
Th (0.500, 0.500, 0.500)
Ag (0.250, 0.250, 0.750)
Ag (0.250, 0.750, 0.250)
Ag (0.750, 0.250, 0.250)
Ag (0.750, 0.750, 0.750)
Pt (0.250, 0.250, 0.250)
Pt (0.250, 0.750, 0.750)
Pt (0.750, 0.250, 0.750)
Pt (0.750, 0.750, 0.250)